## Y3Cr5O12 (PBE with a Hubbard U)

Data for Y3Cr5O12 after structural relaxation.

**Space-group type**: Ia-3d (230)
**Energy**: -8.234 eV per atom

Cell: 10.8997 10.8997 10.8997 Å, 109.47 109.47 109.47°
Fractional positions:
Y  0.1250  0.2500  0.3750
Y  0.1250  0.3750  0.7500
Y  0.2500  0.3750  0.1250
Y  0.2500  0.8750  0.6250
Y  0.3750  0.1250  0.2500
Y  0.3750  0.7500  0.1250
Y  0.6250  0.2500  0.8750
Y  0.6250  0.8750  0.7500
Y  0.7500  0.1250  0.3750
Y  0.7500  0.6250  0.8750
Y  0.8750  0.6250  0.2500
Y  0.8750  0.7500  0.6250
Cr  0.0000  0.0000  0.0000
Cr  0.0000  0.0000  0.5000
Cr  0.0000  0.5000  0.0000
Cr  0.0000  0.5000  0.5000
Cr  0.1250  0.7500  0.8750
Cr  0.1250  0.8750  0.2500
Cr  0.2500  0.1250  0.8750
Cr  0.2500  0.6250  0.3750
Cr  0.3750  0.2500  0.6250
Cr  0.3750  0.6250  0.7500
Cr  0.5000  0.0000  0.0000
Cr  0.5000  0.0000  0.5000
Cr  0.5000  0.5000  0.0000
Cr  0.5000  0.5000  0.5000
Cr  0.6250  0.3750  0.2500
Cr  0.6250  0.7500  0.3750
Cr  0.7500  0.3750  0.6250
Cr  0.7500  0.8750  0.1250
Cr  0.8750  0.1250  0.7500
Cr  0.8750  0.2500  0.1250
O  0.0302  0.2041  0.1305
O  0.0302  0.3261  0.8997
O  0.0736  0.7041  0.6739
O  0.0736  0.8695  0.3997
O  0.1003  0.6305  0.4264
O  0.1003  0.9698  0.6739
O  0.1305  0.0302  0.2041
O  0.1305  0.6003  0.9264
O  0.1739  0.2041  0.5736
O  0.1739  0.4698  0.6003
O  0.2041  0.1305  0.0302
O  0.2041  0.5736  0.1739
O  0.2959  0.3261  0.9264
O  0.2959  0.4698  0.3695
O  0.3261  0.8997  0.0302
O  0.3261  0.9264  0.2959
O  0.3695  0.2959  0.4698
O  0.3695  0.5736  0.8997
O  0.3997  0.0736  0.8695
O  0.3997  0.8261  0.5302
O  0.4264  0.1003  0.6305
O  0.4264  0.8261  0.7959
O  0.4698  0.3695  0.2959
O  0.4698  0.6003  0.1739
O  0.5302  0.3997  0.8261
O  0.5302  0.6305  0.7041
O  0.5736  0.1739  0.2041
O  0.5736  0.8997  0.3695
O  0.6003  0.1739  0.4698
O  0.6003  0.9264  0.1305
O  0.6305  0.4264  0.1003
O  0.6305  0.7041  0.5302
O  0.6739  0.0736  0.7041
O  0.6739  0.1003  0.9698
O  0.7041  0.5302  0.6305
O  0.7041  0.6739  0.0736
O  0.7959  0.4264  0.8261
O  0.7959  0.8695  0.9698
O  0.8261  0.5302  0.3997
O  0.8261  0.7959  0.4264
O  0.8695  0.3997  0.0736
O  0.8695  0.9698  0.7959
O  0.8997  0.0302  0.3261
O  0.8997  0.3695  0.5736
O  0.9264  0.1305  0.6003
O  0.9264  0.2959  0.3261
O  0.9698  0.6739  0.1003
O  0.9698  0.7959  0.8695